1.
10
Lattice="-3.6669 -2.1557 -1.7551 -1.0558 -1.6075 4.1803 -6.5018 9.4410 1.9884" Properties=species:S:1:pos:R:3 comment="Pr2AgSn4Au3, relaxed, DFT GGA-PBE" formation_energy_ev_per_atom=-0.52 space_group="P-4m2 (115)" pbc="T T T"
Pr -3.5543 1.4210 -0.3512
Pr -5.3088 6.1384 3.5522
Ag -5.6122 2.8389 2.2068
Sn -2.3613 -1.8816 1.2126
Sn 0.0000 0.0000 0.0000
Sn -5.9428 4.8892 0.3792
Sn -2.9203 2.6702 2.8218
Au -3.2509 4.7205 0.9942
Au -7.4190 7.0326 0.8306
Au -1.4441 0.5267 2.3703

***

2.
5
Lattice="4.1971 0.0000 0.0000 0.0000 4.1971 0.0000 0.0000 0.0000 3.9341" Properties=species:S:1:pos:R:3 comment="Nb2ZnHW, relaxed, DFT GGA-PBE" space_group="P4/mmm (123)" dft_energy_ev_per_cell=-37.52 pbc="T T T"
H 0.0000 0.0000 0.0000
Nb 0.0000 2.0986 0.0000
Nb 2.0986 0.0000 0.0000
Zn 2.0986 2.0986 1.9671
W 0.0000 0.0000 1.9671

***

3.
8
Lattice="2.6851 0.0000 0.0000 0.0000 3.6531 0.0000 0.0000 0.0000 11.0849" Properties=species:S:1:pos:R:3 comment="MnP3, relaxed, DFT GGA-PBE" de_polymorph_mev_per_atom=129.5 formation_energy_ev_per_atom=-0.03 space_group="Imm2 (44)" pbc="T T T"
Mn 0.0000 0.0000 6.3757
Mn 1.3425 1.8266 0.8333
P 0.0000 1.8266 10.1338
P 1.3425 0.0000 4.5913
P 0.0000 0.0000 1.4787
P 1.3425 1.8266 7.0211
P 0.0000 0.0000 8.7869
P 1.3425 1.8266 3.2445

***

4.
18
Lattice="5.4784 0.0000 0.0000 -2.7392 9.8558 0.0000 0.0000 0.0000 10.5197" Properties=species:S:1:pos:R:3 comment="LaTb5TmSc2, relaxed, DFT GGA-PBE" formation_energy_ev_per_atom=0.18 space_group="Cmc2_1 (36)" pbc="T T T"
La 2.7392 5.9116 5.3883
La 0.0000 3.9443 0.1285
Tb 0.0000 7.6981 0.2707
Tb 2.7392 4.3485 8.4986
Tb 0.0000 9.4228 7.7918
Tb 0.0000 5.9062 7.4255
Tb 2.7392 9.6148 5.5112
Tb 2.7392 2.1577 5.5306
Tb 0.0000 5.5074 3.2388
Tb 2.7392 0.4330 2.5319
Tb 2.7392 3.9497 2.1656
Tb 0.0000 0.2410 0.2514
Tm 2.7392 1.7290 10.0263
Tm 0.0000 8.1268 4.7664
Sc 2.7392 7.6141 8.5286
Sc 0.0000 2.1503 7.8256
Sc 0.0000 2.2418 3.2687
Sc 2.7392 7.7055 2.5657